# 1
## TlCoBr2 (PBE-GGA)

Data for a relaxed structure of TlCoBr2. Values from VASP.

SG	C2/m (12)
E above lowest polymorph	25	meV per atom
raw formation energy	-0.22	eV per atom

```
&SYSTEM
  ibrav = 0, nat = 4, ntyp = 3
/
ATOMIC_SPECIES
Co 58.93 Co.upf
Br 79.90 Br.upf
Tl 204.38 Tl.upf
CELL_PARAMETERS angstrom
-2.608 0.800 -2.567
-3.360 -1.651 0.143
-4.697 6.089 4.204
ATOMIC_POSITIONS angstrom
Co -7.999 3.929 1.335
Br -5.520 3.143 1.312
Br -4.510 5.565 3.782
Tl -2.666 1.310 0.445
```

=====

# 2
## PrFeC3 (PBE-GGA)

Data for a relaxed structure of PrFeC3. Values from VASP.

SG	C2/m (12)
calculated formation energy	43	kJ/mol of atoms

```
&SYSTEM
  ibrav = 0, nat = 10, ntyp = 3
/
ATOMIC_SPECIES
C 12.01 C.upf
Pr 140.91 Pr.upf
Fe 55.84 Fe.upf
CELL_PARAMETERS angstrom
-1.698 3.672 -0.812
-2.530 -2.389 4.969
4.365 2.948 4.203
ATOMIC_POSITIONS angstrom
C 0.365 2.946 2.073
C 2.621 4.609 4.875
C 0.820 3.403 3.191
C -0.228 1.285 6.286
C -2.484 -0.378 3.485
C -0.683 0.827 5.169
Pr 1.959 2.050 5.171
Pr -1.822 2.181 3.189
Fe 0.233 1.880 8.011
Fe -0.096 2.351 0.349
```

=====

# 3
## Hf3AuCl (PBE-GGA)

Data for a relaxed structure of Hf3AuCl. Values from VASP.

SG	Pm-3m (221)
E above lowest polymorph	0	meV per atom
raw formation energy	0.13	eV per atom

```
&SYSTEM
  ibrav = 0, nat = 5, ntyp = 3
/
ATOMIC_SPECIES
Cl 35.45 Cl.upf
Hf 178.49 Hf.upf
Au 196.97 Au.upf
CELL_PARAMETERS angstrom
-3.902 2.300 1.188
-2.218 -4.078 0.611
1.335 -0.054 4.488
ATOMIC_POSITIONS angstrom
Cl 0.000 0.000 0.000
Hf -1.109 -2.039 0.305
Hf 0.667 -0.027 2.244
Hf -1.951 1.150 0.594
Au -2.393 -0.916 3.143
```